VASP calculation (PBE) on crystalline LaMgCd at its relaxed geometry.

Unit cell a=5.210 b=5.210 c=3.503 alpha=90.00 beta=90.00 gamma=120.00
Atoms (fractional coordinates):
La: 0.000 0.000 0.000
Mg: 0.667 0.333 0.501
Cd: 0.333 0.667 0.499

Values from the calculation:
space-group type	No. 156
E_tot	-2.742	eV per atom
calculated formation energy	-0.263	eV per atom